(1)
{
  "formula": "KScZnSe3",
  "functional": "PBE",
  "state": "optimized geometry",
  "density_kg_m3": 3959,
  "energy_ev_per_fu": -26.95,
  "magnetic_moment_mub_per_fu": 0.0,
  "sg": "P2_1/m",
  "lattice": [[8.469, 0.000, 0.000], [0.000, 3.999, 0.000], [-3.615, 0.000, 9.570]],
  "species": ["K", "K", "Sc", "Sc", "Se", "Se", "Se", "Se", "Se", "Se", "Zn", "Zn"],
  "fractional_positions": [[0.754, 0.750, 0.228], [0.246, 0.250, 0.772], [0.325, 0.750, 0.366], [0.675, 0.250, 0.634], [0.229, 0.750, 0.057], [0.096, 0.250, 0.350], [0.541, 0.250, 0.358], [0.459, 0.750, 0.642], [0.904, 0.750, 0.650], [0.771, 0.250, 0.943], [0.083, 0.250, 0.109], [0.917, 0.750, 0.891]]
}

(2)
{
  "formula": "LaNd2Ga2Fe4",
  "functional": "PBE",
  "state": "optimized geometry",
  "density_kg_m3": 7443,
  "energy_ev_per_fu": -55.10,
  "magnetic_moment_mub_per_fu": 5.4,
  "sg": "C2/m",
  "lattice": [[0.407, 5.501, 0.798], [-2.294, 4.527, -2.303], [-5.779, -1.729, 5.577]],
  "species": ["Fe", "Fe", "Fe", "Fe", "Ga", "Ga", "La", "Nd", "Nd"],
  "fractional_positions": [[0.757, 0.757, 0.077], [0.920, 0.920, 0.366], [0.080, 0.080, 0.634], [0.243, 0.243, 0.923], [0.325, 0.325, 0.226], [0.675, 0.675, 0.774], [0.000, 0.000, 0.000], [0.627, 0.627, 0.380], [0.373, 0.373, 0.620]]
}

(3)
{
  "formula": "TcAgO3",
  "functional": "PBE",
  "state": "optimized geometry",
  "density_kg_m3": 7454,
  "energy_ev_per_fu": -32.46,
  "magnetic_moment_mub_per_fu": 0.0,
  "sg": "Pnma",
  "lattice": [[-4.765, -2.496, -0.252], [1.456, -2.301, -4.741], [2.936, -5.992, 3.810]],
  "species": ["Ag", "Ag", "Ag", "Ag", "O", "O", "O", "O", "O", "O", "O", "O", "O", "O", "O", "O", "Tc", "Tc", "Tc", "Tc"],
  "fractional_positions": [[0.998, 0.008, 0.250], [0.502, 0.508, 0.250], [0.498, 0.492, 0.750], [0.002, 0.992, 0.750], [0.716, 0.282, 0.028], [0.784, 0.782, 0.028], [0.056, 0.492, 0.250], [0.444, 0.992, 0.250], [0.716, 0.282, 0.472], [0.784, 0.782, 0.472], [0.216, 0.218, 0.528], [0.284, 0.718, 0.528], [0.556, 0.008, 0.750], [0.944, 0.508, 0.750], [0.216, 0.218, 0.972], [0.284, 0.718, 0.972], [0.500, 0.000, 0.000], [0.000, 0.500, 0.000], [0.500, 0.000, 0.500], [0.000, 0.500, 0.500]]
}

(4)
{
  "formula": "Pr2Nd2BBrCl4",
  "functional": "PBE",
  "state": "optimized geometry",
  "density_kg_m3": 4469,
  "energy_ev_per_fu": -50.90,
  "magnetic_moment_mub_per_fu": 0.0,
  "sg": "C2/m",
  "lattice": [[9.040, -2.020, 0.000], [9.040, 2.020, 0.000], [-2.218, 0.000, 8.169]],
  "species": ["B", "Br", "Cl", "Cl", "Cl", "Cl", "Nd", "Nd", "Pr", "Pr"],
  "fractional_positions": [[0.500, 0.500, 0.000], [0.500, 0.500, 0.500], [0.831, 0.831, 0.145], [0.164, 0.164, 0.334], [0.836, 0.836, 0.666], [0.169, 0.169, 0.855], [0.999, 0.999, 0.213], [0.001, 0.001, 0.787], [0.650, 0.650, 0.090], [0.350, 0.350, 0.910]]
}